# Ac3MnPd2O9

An optimized crystal structure of Ac3MnPd2O9 (PBE with a Hubbard U, Alexandria via LeMat-Bulk).

Cell: 5.744 5.744 7.033 Å, 90.00 90.00 120.00°
Site moments in Bohr magnetons follow the coordinates.
Fractional positions:
O 0.500 0.500 0.000  0.03
O 0.500 0.000 0.000  0.03
O 0.163 0.326 0.337  -0.03
O 0.000 0.500 0.000  0.03
O 0.326 0.163 0.663  -0.03
O 0.163 0.837 0.337  -0.03
O 0.837 0.674 0.663  -0.03
O 0.674 0.837 0.337  -0.03
O 0.837 0.163 0.663  -0.03
Pd 0.333 0.667 0.172  0.05
Pd 0.667 0.333 0.828  0.05
Ac 0.667 0.333 0.331  0.01
Ac 0.333 0.667 0.669  0.01
Ac 0.000 0.000 0.000  0.00
Mn 0.000 0.000 0.500  3.91

- ρ (Mg/m³) = 9.03
- symmetry = P-3m1 (164)
- raw total energy (eV for the cell shown) = -105.615